# 1
PBE-GGA ReHAu, relaxed; final energy = -35.0 eV for the cell shown
1.0
-4.7787 -1.4670 2.3794
-6.6105 -2.8326 0.9303
16.0259 -0.5733 -2.9487
Re Au H
2 2 2
direct
0.8133 0.2887 0.5375
0.6995 0.2934 0.8943
0.6539 0.3930 0.0958
0.0603 0.0888 0.3370
0.5326 0.9766 0.5611
0.3783 0.9119 0.8739

---

# 2
PBE-GGA ZrZnSi, relaxed; final energy = -15.0 eV for the cell shown
1.0
4.4507 0.0000 0.0000
2.2254 3.8544 0.0000
2.2254 1.2848 3.6340
Si Zn Zr
1 1 1
direct
0.0000 0.0000 0.0000
0.5000 0.5000 0.5000
0.7500 0.7500 0.7500

---

In μB/f.u., the magnetization values for the records above are, in order, 0.00 0.00.